No. 1
This record from Alexandria via LeMat-Bulk describes an optimized crystal structure of ThZnAs2. The functional is PBE.

Computed properties:
Crystal system: tetragonal
Total energy: -5.181 eV per atom
Formation enthalpy at 0 K: -0.68 eV/atom

a = 4.7133 Å, b = 4.7133 Å, c = 3.8490 Å
α = 90.00°, β = 90.00°, γ = 90.00°
With the nearest neighbours (Å) after each atom.
Space group P4/mmm (No. 123)
Inequivalent atoms, fractional coordinates:
Th  0.0000  0.0000  0.0000 [1 per cell]  8 As 3.04, 4 Zn 3.33
Zn  0.5000  0.5000  0.0000 [1 per cell]  8 As 3.04, 4 Th 3.33
As  0.0000  0.5000  0.5000 [2 per cell]  4 Zn 3.04, 4 Th 3.04, 4 As 3.33

***

No. 2
This record from Alexandria via LeMat-Bulk describes an optimized crystal structure of Th2ZnAs. The functional is PBE.

Computed properties:
Crystal system: trigonal
Total energy: -5.737 eV per atom
Formation enthalpy at 0 K: -0.55 eV/atom

a = 4.0324 Å, b = 4.0324 Å, c = 23.7730 Å
α = 90.00°, β = 90.00°, γ = 120.00°
With the nearest neighbours (Å) after each atom.
Space group R3m (No. 160, hexagonal axes)
Inequivalent atoms, fractional coordinates:
Th  0.0000  0.0000  0.0000 [3 per cell]  3 As 2.96, 3 Zn 3.18
Th  0.0000  0.0000  0.1807 [3 per cell]  3 As 2.94, 3 Zn 3.16
Zn  0.0000  0.0000  0.7578 [3 per cell]  6 Th 3.16-3.18
As  0.0000  0.0000  0.5895 [3 per cell]  6 Th 2.94-2.96

***

No. 3
This record from Alexandria via LeMat-Bulk describes an optimized crystal structure of Th2ZrAs3. The functional is PBE.

Computed properties:
Crystal system: tetragonal
Total energy: -7.440 eV per atom
Formation enthalpy at 0 K: -1.22 eV/atom

a = 4.1638 Å, b = 4.1638 Å, c = 17.4628 Å
α = 90.00°, β = 90.00°, γ = 90.00°
With the nearest neighbours (Å) after each atom.
Space group I4/mmm (No. 139)
Inequivalent atoms, fractional coordinates:
Th  0.0000  0.0000  0.1655 [4 per cell]  6 As 2.89-3.04
Zr  0.0000  0.0000  0.5000 [2 per cell]  6 As 2.80-2.94
As  0.0000  0.0000  0.0000 [2 per cell]  2 Th 2.89, 4 Zr 2.94
As  0.0000  0.0000  0.3397 [4 per cell]  1 Zr 2.80, 5 Th 2.95-3.04

***

No. 4
This record from Alexandria via LeMat-Bulk describes an optimized crystal structure of Th4ZrAs5. The functional is PBE.

Computed properties:
Crystal system: tetragonal
Total energy: -7.445 eV per atom
Formation enthalpy at 0 K: -1.30 eV/atom

a = 9.3363 Å, b = 9.3363 Å, c = 5.9494 Å
α = 90.00°, β = 90.00°, γ = 90.00°
With the nearest neighbours (Å) after each atom.
Space group I4/m (No. 87)
Inequivalent atoms, fractional coordinates:
Th  0.0962  0.6987  0.0000 [8 per cell]  6 As 2.95-3.03
Zr  0.0000  0.0000  0.5000 [2 per cell]  6 As 2.84-2.97
As  0.0000  0.0000  0.0000 [2 per cell]  4 Th 2.95, 2 Zr 2.97
As  0.0983  0.7123  0.5000 [8 per cell]  1 Zr 2.84, 5 Th 2.97-3.03

***

No. 5
This record from Alexandria via LeMat-Bulk describes an optimized crystal structure of Th3ZrAs4. The functional is PBE.

Computed properties:
Crystal system: monoclinic
Total energy: -7.464 eV per atom
Formation enthalpy at 0 K: -1.29 eV/atom

a = 7.2187 Å, b = 8.2802 Å, c = 7.2451 Å
α = 90.00°, β = 109.31°, γ = 90.00°
With the nearest neighbours (Å) after each atom.
Space group P2/c (No. 13)
Inequivalent atoms, fractional coordinates:
Th  0.0000  0.1236  0.2500 [2 per cell]  6 As 2.93-3.04
Th  0.0000  0.3720  0.7500 [2 per cell]  6 As 2.95-3.05
Th  0.5000  0.3722  0.2500 [2 per cell]  6 As 2.93-2.96
Zr  0.5000  0.1243  0.7500 [2 per cell]  6 As 2.84-2.86
As  0.2580  0.3672  0.5085 [4 per cell]  1 Zr 2.85, 5 Th 2.95-3.05
As  0.2659  0.1160  0.0006 [4 per cell]  2 Zr 2.84-2.86, 4 Th 2.93-3.04

***

No. 6
This record from Alexandria via LeMat-Bulk describes an optimized crystal structure of ThZr2As4. The functional is PBE.

Computed properties:
Crystal system: orthorhombic
Total energy: -7.176 eV per atom
Formation enthalpy at 0 K: -1.02 eV/atom

a = 3.9666 Å, b = 12.7308 Å, c = 13.0061 Å
α = 90.00°, β = 90.00°, γ = 90.00°
With the nearest neighbours (Å) after each atom.
Space group Cmcm (No. 63)
Inequivalent atoms, fractional coordinates:
Th  0.0000  0.1081  0.2500 [4 per cell]  6 As 2.94-3.01
Zr  0.0000  0.3659  0.0577 [8 per cell]  6 As 2.66-2.75
As  0.0000  0.0000  0.0000 [4 per cell]  4 Zr 2.72
As  0.0000  0.2651  0.6282 [8 per cell]  3 Zr 2.74-2.75, 2 Th 3.01
As  0.0000  0.4378  0.2500 [4 per cell]  2 Zr 2.66, 2 Th 2.94

***

No. 7
This record from Alexandria via LeMat-Bulk describes an optimized crystal structure of Th5ZrAs6. The functional is PBE.

Computed properties:
Crystal system: monoclinic
Total energy: -7.451 eV per atom
Formation enthalpy at 0 K: -1.32 eV/atom

a = 7.2502 Å, b = 12.6019 Å, c = 7.2721 Å
α = 90.00°, β = 109.59°, γ = 90.00°
With the nearest neighbours (Å) after each atom.
Space group C2/m (No. 12)
Inequivalent atoms, fractional coordinates:
Th  0.0000  0.0000  0.0000 [2 per cell]  6 As 2.97-3.06
Th  0.0000  0.1651  0.5000 [4 per cell]  6 As 2.97-2.98
Th  0.0000  0.3291  0.0000 [4 per cell]  6 As 2.97-3.04
Zr  0.0000  0.5000  0.5000 [2 per cell]  6 As 2.85-2.88
As  0.2380  0.5000  0.2535 [4 per cell]  1 Zr 2.88, 5 Th 2.98-3.06
As  0.2398  0.3393  0.7399 [8 per cell]  1 Zr 2.85, 5 Th 2.97-3.04

***

No. 8
This record from Alexandria via LeMat-Bulk describes an optimized crystal structure of TiAs4. The functional is PBE.

Computed properties:
Crystal system: cubic
Total energy: -4.920 eV per atom
Formation enthalpy at 0 K: 0.38 eV/atom

a = 4.8728 Å, b = 4.8728 Å, c = 4.8728 Å
α = 90.00°, β = 90.00°, γ = 90.00°
With the nearest neighbours (Å) after each atom.
Space group Pm-3m (No. 221)
Inequivalent atoms, fractional coordinates:
Ti  0.0000  0.0000  0.0000 [1 per cell]  6 As 2.44
As  0.0000  0.0000  0.5000 [3 per cell]  2 Ti 2.44
As  0.5000  0.5000  0.5000 [1 per cell]  12 As 3.45